Below is a geometry-optimized ScFeNF2 structure, with properties calculated at the GGA+U level.

Calculated density ... 3.67 Mg/m³
E above lowest polymorph ... 0 meV per atom

Unit cell a=3.953 b=3.953 c=4.428 alpha=90.00 beta=90.00 gamma=90.00
Space group P4/mmm (No. 123)
Inequivalent atoms, fractional coordinates:
Sc (0.000, 0.000, 0.000)
Fe (0.500, 0.500, 0.500)
N (0.000, 0.000, 0.500)
F (0.000, 0.500, 0.000)